1.
The following is a PBE calculation of an optimized crystal structure of MgMn2P, from Alexandria via LeMat-Bulk.

CIF file:
```
data_MgMn2P
_chemical_formula_sum 'Mg4 Mn8 P4'
_cell_length_a 5.750
_cell_length_b 5.750
_cell_length_c 5.750
_cell_angle_alpha 90.00
_cell_angle_beta 90.00
_cell_angle_gamma 90.00
_symmetry_space_group_name_H-M 'F m -3 m'
_symmetry_Int_Tables_number 225
_symmetry_space_group_name_Hall '-F 4 2 3'
loop_
_atom_site_label
_atom_site_type_symbol
_atom_site_fract_x
_atom_site_fract_y
_atom_site_fract_z
_atom_site_occupancy
Mg1 Mg 0.000 0.000 0.000 1
Mn1 Mn 0.250 0.250 0.250 1
P1 P 0.000 0.000 0.500 1
```

Properties
ΔH_f (0 K) = 0.5 eV per formula unit
raw total energy = -6.204 eV per atom

***

2.
The following is a PBE calculation of an optimized crystal structure of SnTeS, from Alexandria via LeMat-Bulk.

CIF file:
```
data_SnTeS
_chemical_formula_sum 'Sn4 Te4 S4'
_cell_length_a 12.002
_cell_length_b 4.600
_cell_length_c 6.395
_cell_angle_alpha 90.00
_cell_angle_beta 92.26
_cell_angle_gamma 90.00
_symmetry_space_group_name_H-M 'C 1 2/m 1'
_symmetry_Int_Tables_number 12
loop_
_symmetry_equiv_pos_as_xyz
'x,y,z'
'-x,-y,-z'
'-x,y,-z'
'x,-y,z'
'x+1/2,y+1/2,z'
'-x+1/2,-y+1/2,-z'
'-x+1/2,y+1/2,-z'
'x+1/2,-y+1/2,z'
loop_
_atom_site_label
_atom_site_type_symbol
_atom_site_fract_x
_atom_site_fract_y
_atom_site_fract_z
_atom_site_occupancy
Sn1 Sn 0.245 0.000 0.244 1
Te1 Te 0.082 0.500 0.355 1
S1 S 0.151 0.000 0.870 1
```

Properties
E_form (uncorrected) = -0.1330 eV per atom
raw total energy = -3.890 eV per atom
polymorph energy (0 for the lowest one) = 0.06 eV/f.u.

***

3.
The following is a PBE calculation of an optimized crystal structure of TbNd7Dy12, from Alexandria via LeMat-Bulk.

CIF file:
```
data_TbNd7Dy12
_chemical_formula_sum 'Tb2 Nd14 Dy24'
_cell_length_a 11.335
_cell_length_b 11.335
_cell_length_c 11.335
_cell_angle_alpha 90.00
_cell_angle_beta 90.00
_cell_angle_gamma 90.00
_symmetry_space_group_name_H-M 'I m -3 m'
_symmetry_Int_Tables_number 229
_symmetry_space_group_name_Hall '-I 4 2 3'
loop_
_atom_site_label
_atom_site_type_symbol
_atom_site_fract_x
_atom_site_fract_y
_atom_site_fract_z
_atom_site_occupancy
Tb1 Tb 0.000 0.000 0.000 1
Nd1 Nd 0.000 0.000 0.500 1
Nd2 Nd 0.250 0.250 0.250 1
Dy1 Dy 0.000 0.247 0.247 1
```

Properties
ΔH_f (0 K) = 12.7 eV per formula unit
raw total energy = -4.026 eV per atom
polymorph energy (0 for the lowest one) = 8.10 eV/f.u.

***

4.
The following is a PBE calculation of an optimized crystal structure of Rb2FePdS4, from Alexandria via LeMat-Bulk.

CIF file:
```
data_Rb2FePdS4
_chemical_formula_sum 'Rb16 Fe8 Pd8 S32'
_cell_length_a 5.582
_cell_length_b 13.545
_cell_length_c 22.801
_cell_angle_alpha 90.00
_cell_angle_beta 90.00
_cell_angle_gamma 90.00
_symmetry_space_group_name_H-M 'F d d d'
_symmetry_Int_Tables_number 70
loop_
_symmetry_equiv_pos_as_xyz
'x,y,z'
'-x,-y,-z'
'-x+1/4,-y+1/4,z'
'x+1/4,y+1/4,-z'
'x,-y+1/4,-z+1/4'
'-x,y+1/4,z+1/4'
'-x+1/4,y,-z+1/4'
'x+1/4,-y,z+1/4'
'x,y+1/2,z+1/2'
'-x,-y+1/2,-z+1/2'
'-x+1/4,-y+3/4,z+1/2'
'x+1/4,y+3/4,-z+1/2'
'x,-y+3/4,-z+3/4'
'-x,y+3/4,z+3/4'
'-x+1/4,y+1/2,-z+3/4'
'x+1/4,-y+1/2,z+3/4'
'x+1/2,y,z+1/2'
'-x+1/2,-y,-z+1/2'
'-x+3/4,-y+1/4,z+1/2'
'x+3/4,y+1/4,-z+1/2'
'x+1/2,-y+1/4,-z+3/4'
'-x+1/2,y+1/4,z+3/4'
'-x+3/4,y,-z+3/4'
'x+3/4,-y,z+3/4'
'x+1/2,y+1/2,z'
'-x+1/2,-y+1/2,-z'
'-x+3/4,-y+3/4,z'
'x+3/4,y+3/4,-z'
'x+1/2,-y+3/4,-z+1/4'
'-x+1/2,y+3/4,z+1/4'
'-x+3/4,y+1/2,-z+1/4'
'x+3/4,-y+1/2,z+1/4'
loop_
_atom_site_label
_atom_site_type_symbol
_atom_site_fract_x
_atom_site_fract_y
_atom_site_fract_z
_atom_site_occupancy
Rb1 Rb 0.125 0.125 0.305 1
Fe1 Fe 0.125 0.125 0.625 1
Pd1 Pd 0.125 0.125 0.125 1
S1 S 0.094 0.282 0.820 1
```

Properties
E_form (uncorrected) = -0.6602 eV per atom
raw total energy = -4.673 eV per atom

***

> Which of these has the highest raw total energy?

SnTeS

***

> What is the raw total energy in the first record?

-6.204 eV per atom

***

> Which of these has the lowest raw total energy?

MgMn2P

***

> Which of these has the lowest raw total energy?

MgMn2P